1.
A relaxed CaLaTi2As crystal, computed with PBE-GGA.

Cell lengths 4.913, 4.913, 5.734 Å; angles 90.00, 90.00, 90.00 degrees
Space group P4/mmm (No. 123)
Unique sites:
Ca1 0.000 0.000 0.000 (multiplicity 1)
La1 0.500 0.500 0.000 (multiplicity 1)
Ti1 0.000 0.500 0.500 (multiplicity 2)
As1 0.500 0.500 0.500 (multiplicity 1)

Output
- ΔE_f: 0.01 eV per atom


2.
A relaxed Tb3TeSe6 crystal, computed with PBE-GGA.

Cell lengths 11.081, 14.073, 7.046 Å; angles 90.00, 90.00, 90.00 degrees
Space group Cmc2_1 (No. 36)
Unique sites:
Tb1 0.000 0.088 0.000 (multiplicity 4)
Tb2 0.187 0.400 0.114 (multiplicity 8)
Te1 0.000 0.331 0.589 (multiplicity 4)
Se1 0.000 0.267 0.235 (multiplicity 4)
Se2 0.000 0.491 0.863 (multiplicity 4)
Se3 0.165 0.231 0.834 (multiplicity 8)
Se4 0.166 0.037 0.303 (multiplicity 8)

Output
- Formation energy (no corrections): -13.14 eV per formula unit


3.
A relaxed NaTcO3 crystal, computed with PBE-GGA.

Cell lengths 5.499, 7.699, 5.486 Å; angles 90.00, 90.00, 90.00 degrees
Space group Pnma (No. 62)
Unique sites:
Na1 0.006 0.250 0.003 (multiplicity 4)
Tc1 0.000 0.000 0.500 (multiplicity 4)
O1 0.001 0.750 0.470 (multiplicity 4)
O2 0.231 0.516 0.769 (multiplicity 8)

Output
- Formation energy (no corrections): -7.80 eV per formula unit


4.
A relaxed AgBiTe2 crystal, computed with PBE-GGA.

Cell lengths 4.3081, 4.3081, 22.3703 Å; angles 90.00, 90.00, 120.00 degrees
Space group R3m (No. 160, hexagonal axes)
Unique sites:
Ag1 0.0000 0.0000 0.0000 (multiplicity 3)
Bi1 0.0000 0.0000 0.8331 (multiplicity 3)
Te1 0.0000 0.0000 0.4090 (multiplicity 3)
Te2 0.0000 0.0000 0.5919 (multiplicity 3)

Output
- Formation energy (no corrections): -0.30 eV per formula unit


5.
A relaxed Cs2KNaSe crystal, computed with PBE-GGA.

Cell lengths 7.117, 7.117, 6.375 Å; angles 90.00, 90.00, 90.00 degrees
Space group P4/mmm (No. 123)
Unique sites:
Cs1 0.000 0.500 0.000 (multiplicity 2)
K1 0.000 0.000 0.500 (multiplicity 1)
Na1 0.500 0.500 0.500 (multiplicity 1)
Se1 0.000 0.000 0.000 (multiplicity 1)

Output
- Formation energy (no corrections): -2.87 eV per formula unit
- Energy above the lowest structure with this stoichiometry: 0.0000 eV per atom


6.
A relaxed Pm3Sm5 crystal, computed with PBE-GGA.

Cell lengths 3.637, 3.637, 20.580 Å; angles 90.00, 90.00, 90.00 degrees
Space group P4/mmm (No. 123)
Unique sites:
Pm1 0.000 0.000 0.000 (multiplicity 1)
Pm2 0.500 0.500 0.375 (multiplicity 2)
Sm1 0.000 0.000 0.250 (multiplicity 2)
Sm2 0.000 0.000 0.500 (multiplicity 1)
Sm3 0.500 0.500 0.125 (multiplicity 2)

Output
- ΔE_f: 0.01 eV per atom


7.
A relaxed B2C crystal, computed with PBE-GGA.

Cell lengths 3.456, 4.427, 5.681 Å; angles 101.28, 98.56, 101.51 degrees
Space group P-1 (No. 2)
Unique sites:
B1 0.068 0.317 0.416 (multiplicity 2)
B2 0.293 0.056 0.560 (multiplicity 2)
B3 0.307 0.440 0.737 (multiplicity 2)
B4 0.309 0.948 0.203 (multiplicity 2)
C1 0.054 0.346 0.948 (multiplicity 2)
C2 0.295 0.284 0.170 (multiplicity 2)

Output
- ΔE_f: 0.35 eV per atom
- Energy above the lowest structure with this stoichiometry: 0.1632 eV per atom


8.
A relaxed ZnCr2Si crystal, computed with PBE-GGA.

Cell lengths 3.108, 3.984, 7.950 Å; angles 90.00, 90.00, 90.00 degrees
Space group Cmmm (No. 65)
Unique sites:
Zn1 0.000 0.000 0.000 (multiplicity 2)
Cr1 0.000 0.500 0.266 (multiplicity 4)
Si1 0.000 0.000 0.500 (multiplicity 2)

Output
- Formation energy (no corrections): 0.29 eV per formula unit


The calculation returns the following size of the total moment values, one per record and in order: 0.00; 0.00; 0.00; 0.00; 0.00; 0.00; 0.00; 0.00 μB/atom.
The calculation returns the following theoretical density values, one per record and in order: 4196; 6518; 4832; 7926; 2092; 7237; 2727; 6663 kg/m³.